## KIrAuSe2S (PBE-GGA)

Data for an optimized crystal structure of KIrAuSe2S.

Structure (POSCAR):
```
KIrAuSe2S
1.0
1.920 -8.525 0.000
1.920 8.525 0.000
0.000 0.000 9.459
S Se Au Ir K
2 4 2 2 2
Direct
0.964 0.036 0.750 S
0.036 0.964 0.250 S
0.599 0.401 0.001 Se
0.401 0.599 0.501 Se
0.599 0.401 0.499 Se
0.401 0.599 0.999 Se
0.378 0.622 0.250 Au
0.622 0.378 0.750 Au
0.000 0.000 0.000 Ir
0.000 0.000 0.500 Ir
0.277 0.723 0.750 K
0.723 0.277 0.250 K
```

Properties
The crystal system is orthorhombic. As for the symmetry: No. 63. The calculation puts the uncorrected energy at -4.329 eV/atom.

## KTe2IrAuS (PBE-GGA)

Data for an optimized crystal structure of KTe2IrAuS.

Structure (POSCAR):
```
KTe2IrAuS
1.0
2.022 -7.957 0.000
2.022 7.957 0.000
0.000 0.000 10.256
K Au Te Ir S
2 2 4 2 2
Direct
0.761 0.239 0.250 K
0.239 0.761 0.750 K
0.435 0.565 0.250 Au
0.565 0.435 0.750 Au
0.388 0.612 0.499 Te
0.612 0.388 0.501 Te
0.388 0.612 0.001 Te
0.612 0.388 0.999 Te
0.000 0.000 0.000 Ir
0.000 0.000 0.500 Ir
0.041 0.959 0.250 S
0.959 0.041 0.750 S
```

Properties
The crystal system is orthorhombic. As for the symmetry: No. 63. The calculation puts the uncorrected energy at -4.089 eV/atom.

## KTeIrAuS2 (PBE-GGA)

Data for an optimized crystal structure of KTeIrAuS2.

Structure (POSCAR):
```
KTeIrAuS2
1.0
1.797 -8.436 0.000
1.797 8.436 0.000
0.000 0.000 10.232
Ir K S Au Te
2 2 4 2 2
Direct
0.000 0.000 0.000 Ir
0.000 0.000 0.500 Ir
0.269 0.731 0.250 K
0.731 0.269 0.750 K
0.595 0.405 0.023 S
0.405 0.595 0.523 S
0.405 0.595 0.977 S
0.595 0.405 0.477 S
0.609 0.391 0.250 Au
0.391 0.609 0.750 Au
0.054 0.946 0.750 Te
0.946 0.054 0.250 Te
```

Properties
The crystal system is orthorhombic. As for the symmetry: No. 63. The calculation puts the uncorrected energy at -4.472 eV/atom.

## KIrAu3Se4 (PBE-GGA)

Data for an optimized crystal structure of KIrAu3Se4.

Structure (POSCAR):
```
KIrAu3Se4
1.0
6.511 0.000 0.000
0.000 6.511 0.000
0.000 0.000 6.511
Se Au Ir K
4 3 1 1
Direct
0.288 0.712 0.712 Se
0.288 0.288 0.288 Se
0.712 0.288 0.712 Se
0.712 0.712 0.288 Se
0.500 0.000 0.500 Au
0.000 0.500 0.500 Au
0.500 0.500 0.000 Au
0.500 0.500 0.500 Ir
0.000 0.000 0.000 K
```

Properties
The crystal system is cubic. As for the symmetry: No. 215. The calculation puts the uncorrected energy at -3.749 eV/atom.

## KTeIrAuSe2 (PBE-GGA)

Data for an optimized crystal structure of KTeIrAuSe2.

Structure (POSCAR):
```
KTeIrAuSe2
1.0
1.876 -8.483 0.000
1.876 8.483 0.000
0.000 0.000 10.445
Ir Au Se Te K
2 2 4 2 2
Direct
0.000 0.000 0.500 Ir
0.000 0.000 0.000 Ir
0.389 0.611 0.250 Au
0.611 0.389 0.750 Au
0.400 0.600 0.016 Se
0.400 0.600 0.484 Se
0.600 0.400 0.984 Se
0.600 0.400 0.516 Se
0.952 0.048 0.750 Te
0.048 0.952 0.250 Te
0.269 0.731 0.750 K
0.731 0.269 0.250 K
```

Properties
The crystal system is orthorhombic. As for the symmetry: No. 63. The calculation puts the uncorrected energy at -4.242 eV/atom.

## KTe2IrAuSe (PBE-GGA)

Data for an optimized crystal structure of KTe2IrAuSe.

Structure (POSCAR):
```
KTe2IrAuSe
1.0
2.021 -7.952 0.000
2.021 7.952 0.000
0.000 0.000 10.593
K Te Se Ir Au
2 4 2 2 2
Direct
0.247 0.753 0.750 K
0.753 0.247 0.250 K
0.611 0.389 0.993 Te
0.611 0.389 0.507 Te
0.389 0.611 0.493 Te
0.389 0.611 0.007 Te
0.953 0.047 0.750 Se
0.047 0.953 0.250 Se
0.000 0.000 0.000 Ir
0.000 0.000 0.500 Ir
0.575 0.425 0.750 Au
0.425 0.575 0.250 Au
```

Properties
The crystal system is orthorhombic. As for the symmetry: No. 63. The calculation puts the uncorrected energy at -4.050 eV/atom.

Number 1: M_tot 0.035 μB/atom. Number 2: M_tot 0.003 μB/atom. Number 3: M_tot 0.000 μB/atom. Number 4: M_tot 0.000 μB/atom. Number 5: M_tot 0.001 μB/atom. Number 6: M_tot 0.003 μB/atom.